1.
A plane-wave DFT calculation with PBE was carried out for crystalline Na2BeP2Au at its relaxed geometry.

The calculation puts the energy at -3.67 eV per atom. As for the crystal system: orthorhombic. The calculation puts the energy of formation from the pure elements at -1.58 eV/f.u.

Geometry as extended XYZ:
```
12
Lattice="-2.8087 6.9305 2.7786 2.8087 -6.9305 2.7786 2.8087 6.9305 -2.7786" Properties=species:S:1:pos:R:3 pbc="T T T"
Na 1.2079 2.4744 0.0000
Na 1.2079 -2.4744 2.7786
Na 1.6008 9.4049 0.0000
Na 1.6008 4.4561 2.7786
Be 2.8087 0.0000 1.3893
Be 0.0000 6.9305 1.3893
P 3.9171 1.4412 0.0000
P 1.1084 5.4893 0.0000
P 1.7003 1.4412 2.7786
P -1.1084 5.4893 2.7786
Au 0.0000 0.0000 1.3893
Au 0.0000 0.0000 4.1679
```

***

2.
A plane-wave DFT calculation with PBE was carried out for crystalline NaBePd2Au at its relaxed geometry.

The calculation puts the energy at -3.93 eV per atom. As for the crystal system: tetragonal. The calculation puts the energy of formation from the pure elements at -0.94 eV/f.u.

Geometry as extended XYZ:
```
5
Lattice="4.3313 0.0000 0.0000 0.0000 4.3313 0.0000 0.0000 0.0000 4.4597" Properties=species:S:1:pos:R:3 pbc="T T T"
Na 0.0000 0.0000 0.0000
Be 2.1657 2.1657 2.2299
Pd 0.0000 2.1657 2.2299
Pd 2.1657 0.0000 2.2299
Au 2.1657 2.1657 0.0000
```

***

- energy of formation from the pure elements of number 1 (Na2BeP2Au)?
  -1.58 eV/f.u.